A relaxed PuTeCl crystal. Source: Alexandria, functional GGA-PBE.

abc: 7.3924 7.3924 7.3924
angles: 151.63 151.63 40.56
With the nearest neighbours (Å) after each atom.
Sites, in units of the cell vectors:
Pu 0.0000 0.0000 0.0000  4 Cl 3.00, 4 Te 3.20
Te 0.3614 0.3614 0.0000  4 Pu 3.20, 1 Cl 3.49
Cl 0.6131 0.6131 0.0000  4 Pu 3.00

Values from the calculation:
- symmetry = I4mm, No. 107
- spin magnetization (μB/f.u.) = 5.39
- E_form (uncorrected) (eV per formula unit) = -3.596

A relaxed HgBiPdAu crystal. Source: Alexandria, functional GGA-PBE.

abc: 4.9351 4.9351 4.9351
angles: 60.00 60.00 60.00
With the nearest neighbours (Å) after each atom.
Sites, in units of the cell vectors:
Hg 0.0000 0.0000 0.0000  4 Pd 3.02, 4 Au 3.02
Bi 0.5000 0.5000 0.5000  4 Pd 3.02, 4 Au 3.02
Pd 0.7500 0.7500 0.7500  4 Hg 3.02, 4 Bi 3.02
Au 0.2500 0.2500 0.2500  4 Hg 3.02, 4 Bi 3.02

Values from the calculation:
- formation enthalpy at 0 K (kJ/mol of atoms) = 1.3
- symmetry = F-43m, No. 216
- spin magnetization (μB/f.u.) = 0.00

A relaxed Ac2ZnHg5 crystal. Source: Alexandria, functional GGA-PBE.

abc: 6.9244 6.9244 6.9244
angles: 121.43 121.43 87.54
With the nearest neighbours (Å) after each atom.
Sites, in units of the cell vectors:
Ac 0.0000 0.5000 0.5000  10 Hg 3.40-3.47, 2 Zn 3.50
Ac 0.5000 0.0000 0.5000  10 Hg 3.40-3.47, 2 Zn 3.50
Zn 0.0869 0.0869 0.0000  4 Hg 3.01
Hg 0.4754 0.4754 0.0000  8 Hg 3.37-3.57, 4 Ac 3.40
Hg 0.5138 0.5138 0.5256  1 Zn 3.01, 2 Hg 3.21
Hg 0.5138 0.9882 0.0000  1 Zn 3.01, 2 Hg 3.21
Hg 0.9882 0.5138 0.0000  1 Zn 3.01, 2 Hg 3.21
Hg 0.9882 0.9882 0.4744  1 Zn 3.01, 2 Hg 3.21

Values from the calculation:
- formation enthalpy at 0 K (kJ/mol of atoms) = -28.1
- symmetry = I4mm, No. 107
- relative energy among the computed polymorphs (eV per formula unit) = 0.40
- spin magnetization (μB/f.u.) = 0.00

no.,DOS at the Fermi energy (states/eV/f.u.)
1,8.218
2,3.432
3,10.164